(1)
Lu2MnC | PBE | relaxed

The magnetic moment is 10.6 Bohr magnetons per cell.

It has space group R-3m (No. 166, hexagonal axes), with a = 3.3978 Å, b = 3.3978 Å, c = 25.5963 Å, α = 90.00°, β = 90.00° and γ = 120.00°. The distinct sites, in fractional coordinates, are Lu at (0.0000, 0.0000, 0.1157), Mn at (0.0000, 0.0000, 0.0000) and C at (0.0000, 0.0000, 0.5000).

***

(2)
NdTl2SbTe4 | PBE | relaxed

The magnetic moment is 0.0 Bohr magnetons per cell. The value obtained for the uncorrected formation energy is -0.64 eV per atom.

It has space group P2/m (No. 10), with a = 7.909 Å, b = 4.531 Å, c = 8.480 Å, α = 90.00°, β = 108.02° and γ = 90.00°. The distinct sites, in fractional coordinates, are Nd at (0.000, 0.000, 0.000), Tl at (0.000, 0.500, 0.500), Tl at (0.500, 0.000, 0.500), Sb at (0.500, 0.500, 0.000), Te at (0.247, 0.500, 0.218) and Te at (0.268, 0.000, 0.785).

***

(3)
SrCa4P3O12F | PBE | relaxed

The magnetic moment is 0.0 Bohr magnetons per cell. The value obtained for the uncorrected formation energy is -3.00 eV per atom.

It has space group P6_3 (No. 173), with a = 9.5219 Å, b = 9.5219 Å, c = 7.0484 Å, α = 90.00°, β = 90.00° and γ = 120.00°. The distinct sites, in fractional coordinates, are Sr at (0.3333, 0.6667, 0.0000), Ca at (0.0045, 0.2468, 0.2498), Ca at (0.3333, 0.6667, 0.4997), P at (0.0273, 0.3925, 0.7518), O at (0.0748, 0.3253, 0.5777), O at (0.0945, 0.3511, 0.9314), O at (0.1130, 0.5811, 0.7335), O at (0.1594, 0.6837, 0.2653) and F at (0.0000, 0.0000, 0.2668).

***

(4)
Ca3Os | PBE | relaxed

The magnetic moment is 0.0 Bohr magnetons per cell.

It has space group I4/mmm (No. 139), with a = 4.766 Å, b = 4.766 Å, c = 17.946 Å, α = 90.00°, β = 90.00° and γ = 90.00°. The distinct sites, in fractional coordinates, are Ca at (0.000, 0.000, 0.127), Ca at (0.000, 0.500, 0.000), Ca at (0.000, 0.500, 0.250) and Os at (0.000, 0.000, 0.369).

***

(5)
KCdGa2Ir | PBE | relaxed

The magnetic moment is 0.0 Bohr magnetons per cell.

It has space group P4/mmm (No. 123), with a = 4.856 Å, b = 4.856 Å, c = 5.338 Å, α = 90.00°, β = 90.00° and γ = 90.00°. The distinct sites, in fractional coordinates, are K at (0.000, 0.000, 0.000), Cd at (0.500, 0.500, 0.000), Ga at (0.000, 0.500, 0.500) and Ir at (0.500, 0.500, 0.500).

***

(6)
ScBP2C | PBE | relaxed

The magnetic moment is 0.0 Bohr magnetons per cell.

It has space group Cm (No. 8), with a = 5.745 Å, b = 7.974 Å, c = 4.052 Å, α = 90.00°, β = 126.27° and γ = 90.00°. The distinct sites, in fractional coordinates, are Sc at (0.000, 0.000, 0.000), B at (0.008, 0.500, 0.464), P at (0.003, 0.329, 0.793) and C at (0.021, 0.500, 0.106).

***

no.,total energy (eV/atom)
1,-6.664
2,-3.912
3,-7.157
4,-3.855
5,-3.687
6,-6.767